No. 1
## TlGa3I8 (PBE)

Data for a relaxed structure of TlGa3I8.

* mass density: 4.08 g/cm³
* symmetry: C2/m
* magnetic moment: 0.0 μB/f.u.
* formation energy (no corrections): -493 meV/atom

Lattice parameters (Å, degrees): 7.6775 7.6775 10.5711 90.93 90.93 69.10
With the nearest neighbours (Å) after each atom.
Sites, in units of the cell vectors:
Tl 0.0000 0.0000 0.0000  6 I 3.58-3.61
Ga 0.0000 0.0000 0.5000  6 I 3.29-3.36
Ga 0.3756 0.3756 0.7406  4 I 2.57-2.63
Ga 0.6244 0.6244 0.2594  4 I 2.57-2.63
I 0.2583 0.2583 0.5393  1 Ga 2.57
I 0.2589 0.7380 0.2651  1 Ga 2.63
I 0.2620 0.7411 0.7349  1 Ga 2.63
I 0.2795 0.2795 0.9525  1 Ga 2.57
I 0.7205 0.7205 0.0475  1 Ga 2.57
I 0.7380 0.2589 0.2651  1 Ga 2.63
I 0.7411 0.2620 0.7349  1 Ga 2.63
I 0.7417 0.7417 0.4607  1 Ga 2.57

---

No. 2
## KIn5Pb7 (PBE)

Data for a relaxed structure of KIn5Pb7.

* energy: -3.1476 eV/atom
* mass density: 8.33 g/cm³
* symmetry: Imm2
* magnetic moment: 0.0 μB/f.u.

Lattice parameters (Å, degrees): 8.6848 8.6848 8.6848 137.67 98.36 96.62
With the nearest neighbours (Å) after each atom.
Sites, in units of the cell vectors:
K 0.0000 0.0000 0.0000  10 Pb 3.97-4.15, 10 In 3.98-4.40
In 0.5078 0.0041 0.0048  3 In 3.13-3.22, 7 Pb 3.30-3.50
In 0.5078 0.5031 0.5038  3 In 3.13-3.22, 7 Pb 3.30-3.50
In 0.7876 0.2876 0.5000  4 In 3.22, 4 Pb 3.48-3.55
In 0.9993 0.0041 0.4962  3 In 3.13-3.22, 7 Pb 3.30-3.50
In 0.9993 0.5031 0.9952  3 In 3.13-3.22, 7 Pb 3.30-3.50
Pb 0.2175 0.5028 0.7148  5 In 3.30-3.48, 5 Pb 3.51-3.64
Pb 0.2218 0.7218 0.5000  4 In 3.31, 6 Pb 3.51-3.63
Pb 0.3581 0.0021 0.3561  4 Pb 3.27-3.63, 4 In 3.50
Pb 0.3590 0.3590 0.0000  5 Pb 3.29-3.64, 4 In 3.50
Pb 0.6442 0.6442 0.0000  3 Pb 3.29-3.63, 6 In 3.44-3.55
Pb 0.6460 0.0021 0.6439  4 Pb 3.27-3.63, 4 In 3.50
Pb 0.7880 0.5028 0.2852  5 In 3.30-3.48, 5 Pb 3.51-3.64